La2Ho5 | PBE | relaxed

Values from the calculation:
For the formation energy, the calculation gives 0.0349 eV per atom. For the volume, the calculation gives 229.5 Å³ per cell. The magnetization is 0.00 μB/atom. The space-group type is C2/m, No. 12. As for the density of states at the Fermi level: 10.79 states/eV/f.u.

```
La2Ho5
1.0
5.6662 -2.5372 0.0000
5.6662 2.5372 0.0000
-1.1497 0.0000 7.9827
La Ho
2 5
Cartesian
0.5700 0.0000 1.7324 La
9.6126 0.0000 6.2503 La
1.6770 0.0000 5.1349 Ho
3.9511 0.0000 0.5641 Ho
5.0913 0.0000 3.9914 Ho
6.2315 0.0000 7.4187 Ho
8.5056 0.0000 2.8478 Ho
```